Material: La3InCo
Method: DFT, PBE
State: relaxed

Calculated values
energy above the lowest structure with this stoichiometry: 3.20 eV per formula unit
formation energy from the elements: 34 kJ/mol of atoms
space group: Amm2

Cell: 3.792 9.093 9.093 Å, 129.98 90.00 90.00°
Fractional coordinates of all 5 atoms:
In1 0.500 0.094 0.906
La1 0.500 0.200 0.328
Co1 0.000 0.410 0.590
La2 0.500 0.672 0.800
La3 0.000 0.253 0.747